Record 1
This record from Alexandria via LeMat-Bulk describes a relaxed RePdN2O crystal. The functional is PBE.

Volume ... 60 Å³ per cell
ΔE_f (raw) ... 1.874 eV/atom

Cell: 3.9282 3.9282 3.8953 Å, 90.00 90.00 90.00°
Last column: nearest neighbours and their distance in Å.
Space group P4/mmm (No. 123)
Inequivalent atoms, fractional coordinates:
Re (0.0000, 0.0000, 0.0000) x1  8 N 2.77, 4 O 2.78
Pd (0.5000, 0.5000, 0.5000) x1  2 O 1.95, 4 N 1.96
N (0.0000, 0.5000, 0.5000) x2  2 Pd 1.96
O (0.5000, 0.5000, 0.0000) x1  2 Pd 1.95


Record 2
This record from Alexandria via LeMat-Bulk describes a relaxed RePdN2O crystal. The functional is PBE.

Volume ... 59 Å³ per cell
ΔE_f (raw) ... 0.351 eV/atom

Cell: 3.9413 3.9413 3.8029 Å, 90.00 90.00 90.00°
Last column: nearest neighbours and their distance in Å.
Space group P4/mmm (No. 123)
Inequivalent atoms, fractional coordinates:
Re (0.0000, 0.0000, 0.0000) x1  2 O 1.90, 4 N 1.97
Pd (0.5000, 0.5000, 0.5000) x1  8 N 2.74, 4 O 2.79
N (0.0000, 0.5000, 0.0000) x2  2 Re 1.97
O (0.0000, 0.0000, 0.5000) x1  2 Re 1.90


Record 3
This record from Alexandria via LeMat-Bulk describes a relaxed PdRhN2O crystal. The functional is PBE.

Volume ... 60 Å³ per cell
ΔE_f (raw) ... 1.196 eV/atom

Cell: 3.7877 3.7877 4.1883 Å, 90.00 90.00 90.00°
Last column: nearest neighbours and their distance in Å.
Space group P4/mmm (No. 123)
Inequivalent atoms, fractional coordinates:
Pd (0.0000, 0.0000, 0.0000) x1  4 O 2.68, 8 N 2.82
Rh (0.5000, 0.5000, 0.5000) x1  4 N 1.89, 2 O 2.09
N (0.0000, 0.5000, 0.5000) x2  2 Rh 1.89
O (0.5000, 0.5000, 0.0000) x1  2 Rh 2.09


Record 4
This record from Alexandria via LeMat-Bulk describes a relaxed PdRhNO2 crystal. The functional is PBE.

Volume ... 60 Å³ per cell
ΔE_f (raw) ... 0.645 eV/atom

Cell: 3.9891 3.9891 3.7449 Å, 90.00 90.00 90.00°
Last column: nearest neighbours and their distance in Å.
Space group P4/mmm (No. 123)
Inequivalent atoms, fractional coordinates:
Pd (0.0000, 0.0000, 0.0000) x1  8 O 2.74, 4 N 2.82
Rh (0.5000, 0.5000, 0.5000) x1  2 N 1.87, 4 O 1.99
N (0.5000, 0.5000, 0.0000) x1  2 Rh 1.87
O (0.0000, 0.5000, 0.5000) x2  2 Rh 1.99


| no. | DFT total energy (eV/atom) | total moment (μB/cell) |
| --- | --- | --- |
| 1 | -5.976 | 2.27 |
| 2 | -7.499 | 0.00 |
| 3 | -5.635 | 1.29 |
| 4 | -5.512 | 0.02 |